Os3WO: optimized geometry, PBE+U.

```
5
Lattice="4.113 0.000 0.000 0.000 4.113 0.000 0.000 0.000 4.113" Properties=species:S:1:pos:R:3 pbc="T T T"
W 2.056 2.056 2.056
Os 2.056 0.000 0.000
Os 0.000 2.056 0.000
O 0.000 0.000 0.000
Os 0.000 0.000 2.056
```

- space group = Pm-3m
- distance to the lowest polymorph of the same formula (meV/atom) = 0
- theoretical density (g/cm³) = 18.395
- total DFT energy (no corrections) (eV per atom) = -8.24
- Fermi-level density of states (states/eV/f.u.) = 4.246